Record 1
{
  "formula": "PmGdTcHg",
  "functional": "PBE",
  "state": "relaxed",
  "lattice_angstrom": [[7.246, 0.000, 0.000], [0.000, 7.246, 0.000], [0.000, 0.000, 7.246]],
  "species": ["Pm", "Pm", "Pm", "Pm", "Gd", "Gd", "Gd", "Gd", "Tc", "Tc", "Tc", "Tc", "Hg", "Hg", "Hg", "Hg"],
  "frac_coords": [[0.000, 0.000, 0.000], [0.000, 0.500, 0.500], [0.500, 0.000, 0.500], [0.500, 0.500, 0.000], [0.000, 0.000, 0.500], [0.000, 0.500, 0.000], [0.500, 0.000, 0.000], [0.500, 0.500, 0.500], [0.250, 0.250, 0.250], [0.250, 0.750, 0.750], [0.750, 0.250, 0.750], [0.750, 0.750, 0.250], [0.250, 0.250, 0.750], [0.250, 0.750, 0.250], [0.750, 0.250, 0.250], [0.750, 0.750, 0.750]],
  "delta_e_f_mev_per_atom": -89,
  "total_energy_ev_per_atom": -7.463,
  "spacegroup": "F-43m (216)",
  "magnetic_moment_mub_per_fu": 7.08
}

Record 2
{
  "formula": "AlPtPb2",
  "functional": "PBE",
  "state": "relaxed",
  "lattice_angstrom": [[4.626, 0.000, 0.000], [0.000, 4.626, 0.000], [0.000, 0.000, 8.510]],
  "species": ["Al", "Al", "Pt", "Pt", "Pb", "Pb", "Pb", "Pb"],
  "frac_coords": [[0.000, 0.000, 0.000], [0.500, 0.500, 0.500], [0.000, 0.500, 0.250], [0.500, 0.000, 0.750], [0.000, 0.000, 0.500], [0.000, 0.500, 0.750], [0.500, 0.000, 0.250], [0.500, 0.500, 0.000]],
  "delta_e_f_mev_per_atom": 138,
  "total_energy_ev_per_atom": -4.162,
  "spacegroup": "I-4m2 (119)",
  "magnetic_moment_mub_per_fu": 0.00
}

Record 3
{
  "formula": "Cs2LiAgP",
  "functional": "PBE",
  "state": "relaxed",
  "lattice_angstrom": [[6.612, 0.000, 0.000], [0.000, 6.612, 0.000], [0.000, 0.000, 4.791]],
  "species": ["Cs", "Cs", "Li", "Ag", "P"],
  "frac_coords": [[0.000, 0.500, 0.000], [0.500, 0.000, 0.000], [0.000, 0.000, 0.000], [0.000, 0.000, 0.500], [0.500, 0.500, 0.500]],
  "delta_e_f_mev_per_atom": 422,
  "total_energy_ev_per_atom": -1.955,
  "spacegroup": "P4/mmm (123)",
  "magnetic_moment_mub_per_fu": 1.20
}

Record 4
{
  "formula": "RbFeCo2P",
  "functional": "PBE",
  "state": "relaxed",
  "lattice_angstrom": [[4.397, 0.000, 0.000], [0.000, 4.397, 0.000], [0.000, 0.000, 5.522]],
  "species": ["Rb", "Fe", "Co", "Co", "P"],
  "frac_coords": [[0.000, 0.000, 0.000], [0.500, 0.500, 0.500], [0.000, 0.500, 0.000], [0.500, 0.000, 0.000], [0.000, 0.000, 0.500]],
  "delta_e_f_mev_per_atom": 2770,
  "total_energy_ev_per_atom": -3.040,
  "spacegroup": "P4/mmm (123)",
  "magnetic_moment_mub_per_fu": 3.53
}